A plane-wave DFT calculation with GGA-PBE was carried out for a relaxed HfGeN crystal.

Size of the total moment: 0.0 μB per cell
Crystal system: monoclinic
DOS(E_F): 0.3581 states/eV per atom
Distance to the lowest polymorph of the same formula: 229 meV per atom

Lattice parameters (Å, degrees): 10.5576 3.0785 3.0788 90.00 106.47 90.00
Closest atoms and distances in Å follow each position.
Space group Cm (No. 8)
Asymmetric unit:
1 Hf 0.0000 0.0000 0.0000 [2 per cell]  4 N 2.19
2 Ge 0.2972 0.0000 0.3070 [2 per cell]  1 N 2.33
3 N 0.0269 0.5000 0.5261 [2 per cell]  4 Hf 2.19, 1 Ge 2.33



A plane-wave DFT calculation with GGA-PBE was carried out for a relaxed BaCaMg4 crystal.

Size of the total moment: 0.0 μB per cell
E_tot: -10.9 eV/f.u.
Crystal system: cubic
DOS(E_F): 1.0627 states/eV per atom

Lattice parameters (Å, degrees): 9.0669 9.0669 9.0669 90.00 90.00 90.00
Closest atoms and distances in Å follow each position.
Space group F-43m (No. 216)
Asymmetric unit:
1 Ba 0.0000 0.0000 0.0000 [4 per cell]  12 Mg 3.76, 4 Ca 3.93
2 Ca 0.2500 0.2500 0.7500 [4 per cell]  12 Mg 3.76, 4 Ba 3.93
3 Mg 0.1244 0.1244 0.3756 [16 per cell]  6 Mg 3.19-3.22



A plane-wave DFT calculation with GGA-PBE was carried out for a relaxed Li5Tl4Pt crystal.

Size of the total moment: 0.0 μB per cell
E_tot: -27.9 eV/f.u.
Crystal system: tetragonal
DOS(E_F): 0.4083 states/eV per atom

Lattice parameters (Å, degrees): 3.2892 3.2892 17.8065 90.00 90.00 90.00
Closest atoms and distances in Å follow each position.
Space group P4/mmm (No. 123)
Asymmetric unit:
1 Li 0.0000 0.0000 0.0000 [1 per cell]  8 Tl 3.04, 4 Li 3.29
2 Li 0.0000 0.0000 0.2213 [2 per cell]  8 Tl 3.03-3.06, 4 Li 3.29
3 Li 0.0000 0.0000 0.4292 [2 per cell]  1 Li 2.52, 4 Pt 2.65
4 Tl 0.5000 0.5000 0.1099 [2 per cell]  8 Li 3.04-3.06, 4 Tl 3.29
5 Tl 0.5000 0.5000 0.3308 [2 per cell]  8 Li 2.91-3.03, 1 Pt 3.01
6 Pt 0.5000 0.5000 0.5000 [1 per cell]  8 Li 2.65



A plane-wave DFT calculation with GGA-PBE was carried out for a relaxed CePmSc2 crystal.

Size of the total moment: 0.0 μB per cell
Crystal system: trigonal
DOS(E_F): 2.0853 states/eV per atom
Distance to the lowest polymorph of the same formula: 8 meV per atom

Lattice parameters (Å, degrees): 3.4121 3.4121 32.7822 90.00 90.00 120.00
Closest atoms and distances in Å follow each position.
Space group R3m (No. 160, hexagonal axes)
Asymmetric unit:
1 Ce 0.0000 0.0000 0.0000 [3 per cell]  6 Sc 3.28-3.29, 6 Ce 3.41
2 Pm 0.0000 0.0000 0.8341 [3 per cell]  6 Pm 3.41, 6 Sc 3.44-3.47
3 Sc 0.0000 0.0000 0.4136 [3 per cell]  3 Ce 3.29, 6 Sc 3.41, 3 Pm 3.47
4 Sc 0.0000 0.0000 0.5866 [3 per cell]  3 Ce 3.28, 6 Sc 3.41, 3 Pm 3.44



A plane-wave DFT calculation with GGA-PBE was carried out for a relaxed Sc2TlGe crystal.

Size of the total moment: 0.0 μB per cell
E_tot: -20.4 eV/f.u.
Crystal system: tetragonal
DOS(E_F): 0.4205 states/eV per atom

Lattice parameters (Å, degrees): 7.6475 7.6475 6.4517 90.00 90.00 90.00
Closest atoms and distances in Å follow each position.
Space group I-42d (No. 122)
Asymmetric unit:
1 Sc 0.2225 0.7500 0.1250 [8 per cell]  2 Ge 2.68, 2 Tl 2.97
2 Tl 0.0000 0.0000 0.5000 [4 per cell]  4 Sc 2.97, 2 Ge 3.23
3 Ge 0.0000 0.0000 0.0000 [4 per cell]  4 Sc 2.68



A plane-wave DFT calculation with GGA-PBE was carried out for a relaxed NbCrPd3 crystal.

Size of the total moment: 0.2 μB per cell
Crystal system: cubic
DOS(E_F): 1.3000 states/eV per atom
Distance to the lowest polymorph of the same formula: 0 meV per atom

Lattice parameters (Å, degrees): 4.5760 4.5760 4.5760 90.00 90.00 90.00
Closest atoms and distances in Å follow each position.
Space group Pm-3m (No. 221)
Asymmetric unit:
1 Nb 0.0000 0.0000 0.0000 [1 per cell]  12 Pd 3.24
2 Cr 0.5000 0.5000 0.5000 [1 per cell]  6 Pd 2.29
3 Pd 0.0000 0.5000 0.5000 [3 per cell]  2 Cr 2.29



A plane-wave DFT calculation with GGA-PBE was carried out for a relaxed Nd2AlPtO6 crystal.

Size of the total moment: 1.9 μB per cell
E_tot: -72.2 eV/f.u.
Crystal system: orthorhombic
DOS(E_F): 0.1288 states/eV per atom

Lattice parameters (Å, degrees): 5.3626 8.2052 5.7185 90.00 90.00 90.00
Closest atoms and distances in Å follow each position.
Space group Pmmn (No. 59, origin choice 2)
Asymmetric unit:
1 Nd 0.2500 0.0316 0.2113 [4 per cell]  5 O 2.39-2.57
2 Al 0.2500 0.7500 0.7737 [2 per cell]  6 O 1.85-1.95
3 Pt 0.2500 0.2500 0.7113 [2 per cell]  4 O 2.03-2.04
4 O 0.0060 0.2500 0.9839 [4 per cell]  1 Al 1.95, 1 Pt 2.04
5 O 0.0144 0.2500 0.4334 [4 per cell]  1 Al 1.85, 1 Pt 2.03
6 O 0.2500 0.5232 0.8013 [4 per cell]  1 Al 1.87



A plane-wave DFT calculation with GGA-PBE was carried out for a relaxed SbSeCl crystal.

Size of the total moment: 0.0 μB per cell
E_tot: -11.0 eV/f.u.
Crystal system: trigonal

Lattice parameters (Å, degrees): 4.0312 4.0312 6.7945 90.00 90.00 120.00
Closest atoms and distances in Å follow each position.
Space group P3m1 (No. 156)
Asymmetric unit:
1 Sb 0.0000 0.0000 0.0000 [1 per cell]  3 Se 2.80, 3 Cl 2.89
2 Se 0.6667 0.3333 0.2292 [1 per cell]  3 Sb 2.80
3 Cl 0.3333 0.6667 0.7472 [1 per cell]  3 Sb 2.89



A plane-wave DFT calculation with GGA-PBE was carried out for a relaxed Ho2Cu12Ni3Sn crystal.

Size of the total moment: 0.0 μB per cell
E_tot: -79.1 eV/f.u.
Crystal system: trigonal
DOS(E_F): 0.3195 states/eV per atom

Lattice parameters (Å, degrees): 8.5542 8.5542 12.3369 90.00 90.00 120.00
Closest atoms and distances in Å follow each position.
Space group R-3m (No. 166, hexagonal axes)
Asymmetric unit:
1 Ho 0.0000 0.0000 0.2413 [6 per cell]  3 Ni 2.72, 6 Cu 2.81-2.85
2 Cu 0.0013 0.5006 0.2053 [18 per cell]  5 Cu 2.42-2.64, 1 Sn 2.51, 1 Ni 2.53
3 Cu 0.0440 0.5220 0.6008 [18 per cell]  6 Cu 2.42-2.69
4 Ni 0.0000 0.5000 0.0000 [9 per cell]  6 Cu 2.53-2.77, 2 Ho 2.72
5 Sn 0.0000 0.0000 0.5000 [3 per cell]  6 Cu 2.51



A plane-wave DFT calculation with GGA-PBE was carried out for a relaxed Li3LaDy2S6 crystal.

Size of the total moment: 0.0 μB per cell
E_tot: -66.7 eV/f.u.
Crystal system: monoclinic
DOS(E_F): 0.0000 states/eV per atom

Lattice parameters (Å, degrees): 6.9184 12.0087 6.5889 90.00 110.18 90.00
Closest atoms and distances in Å follow each position.
Space group C2/m (No. 12)
Asymmetric unit:
1 Li 0.0000 0.0000 0.0000 [2 per cell]  6 S 2.68-2.82
2 Li 0.0000 0.3252 0.0000 [4 per cell]  6 S 2.64-2.88
3 La 0.0000 0.5000 0.5000 [2 per cell]  6 S 2.86
4 Dy 0.0000 0.1662 0.5000 [4 per cell]  6 S 2.75
5 S 0.2371 0.0000 0.7535 [4 per cell]  3 Li 2.68-2.88, 2 Dy 2.75, 1 La 2.86
6 S 0.2444 0.1730 0.2486 [8 per cell]  3 Li 2.64-2.82, 2 Dy 2.75, 1 La 2.86



A plane-wave DFT calculation with GGA-PBE was carried out for a relaxed ZnRu2C crystal.

Size of the total moment: 0.0 μB per cell
Crystal system: cubic
DOS(E_F): 1.0576 states/eV per atom
Distance to the lowest polymorph of the same formula: 691 meV per atom

Lattice parameters (Å, degrees): 5.7352 5.7352 5.7352 90.00 90.00 90.00
Closest atoms and distances in Å follow each position.
Space group Fm-3m (No. 225)
Asymmetric unit:
1 Zn 0.0000 0.0000 0.0000 [4 per cell]  8 Ru 2.48
2 Ru 0.2500 0.2500 0.2500 [8 per cell]  4 C 2.48, 4 Zn 2.48
3 C 0.0000 0.0000 0.5000 [4 per cell]  8 Ru 2.48



A plane-wave DFT calculation with GGA-PBE was carried out for a relaxed LiCo4Tc crystal.

Size of the total moment: 0.0 μB per cell
E_tot: -39.4 eV/f.u.
Crystal system: cubic
DOS(E_F): 1.3814 states/eV per atom

Lattice parameters (Å, degrees): 6.5175 6.5175 6.5175 90.00 90.00 90.00
Closest atoms and distances in Å follow each position.
Space group F-43m (No. 216)
Asymmetric unit:
1 Li 0.0000 0.0000 0.0000 [4 per cell]  12 Co 2.70, 4 Tc 2.82
2 Co 0.1256 0.1256 0.3744 [16 per cell]  6 Co 2.29-2.32
3 Tc 0.2500 0.2500 0.7500 [4 per cell]  12 Co 2.70, 4 Li 2.82



- Look up the size of the total moment of the third one.
  0.0 μB per cell